Entry 1:
{"formula": "SbOsBr2", "functional": "PBE-GGA", "state": "optimized geometry", "de_polymorph_mev_per_atom": 372, "lattice": [[1.8306, 1.0569, 10.3367], [-1.8306, 1.0569, 10.3367], [0.0000, -2.1138, 10.3367]], "species": ["Sb", "Os", "Br", "Br"], "frac_coords": [[0.0000, 0.0000, 0.0000], [0.5000, 0.5000, 0.5000], [0.2106, 0.2106, 0.2106], [0.7894, 0.7894, 0.7894]]}

Entry 2:
{"formula": "Ce2Pm2Hg5", "functional": "PBE-GGA", "state": "optimized geometry", "delta_e_f_ev_per_atom": -0.251, "lattice": [[8.1639, -3.8959, 0.0000], [8.1639, 3.8959, 0.0000], [0.0000, 0.0000, 8.3866]], "species": ["Ce", "Ce", "Ce", "Ce", "Pm", "Pm", "Pm", "Pm", "Hg", "Hg", "Hg", "Hg", "Hg", "Hg", "Hg", "Hg", "Hg", "Hg"], "frac_coords": [[0.1986, 0.1986, 0.0000], [0.3014, 0.3014, 0.5000], [0.6986, 0.6986, 0.5000], [0.8014, 0.8014, 0.0000], [0.1467, 0.8533, 0.6580], [0.3533, 0.6467, 0.1580], [0.6467, 0.3533, 0.8420], [0.8533, 0.1467, 0.3420], [0.0000, 0.0000, 0.0000], [0.0059, 0.7187, 0.3437], [0.2187, 0.5059, 0.8437], [0.2813, 0.9941, 0.3437], [0.4941, 0.7813, 0.8437], [0.5000, 0.5000, 0.5000], [0.5059, 0.2187, 0.1563], [0.7187, 0.0059, 0.6563], [0.7813, 0.4941, 0.1563], [0.9941, 0.2813, 0.6563]]}

Entry 3:
{"formula": "TbPrGaRh", "functional": "PBE-GGA", "state": "optimized geometry", "de_polymorph_mev_per_atom": 104, "delta_e_f_ev_per_atom": -0.570, "lattice": [[0.0000, 3.5912, 3.5912], [3.5912, 0.0000, 3.5912], [3.5912, 3.5912, 0.0000]], "species": ["Tb", "Pr", "Ga", "Rh"], "frac_coords": [[0.0000, 0.0000, 0.0000], [0.5000, 0.5000, 0.5000], [0.7500, 0.7500, 0.7500], [0.2500, 0.2500, 0.2500]]}

Entry 4:
{"formula": "Ba2Au2I", "functional": "PBE-GGA", "state": "optimized geometry", "de_polymorph_mev_per_atom": 241, "lattice": [[-3.0139, 3.0139, 5.4122], [3.0139, -3.0139, 5.4122], [3.0139, 3.0139, -5.4122]], "species": ["Ba", "Ba", "Au", "Au", "I"], "frac_coords": [[0.2500, 0.7500, 0.5000], [0.7500, 0.2500, 0.5000], [0.1272, 0.1272, 0.0000], [0.8728, 0.8728, 0.0000], [0.5000, 0.5000, 0.0000]]}

Entry 5:
{"formula": "Hg12Te3As5", "functional": "PBE-GGA", "state": "optimized geometry", "dft_energy_ev_per_atom": -1.69, "lattice": [[-8.4252, 8.4252, 8.4252], [8.4252, -8.4252, 8.4252], [8.4252, 8.4252, -8.4252]], "species": ["Hg", "Hg", "Hg", "Hg", "Hg", "Hg", "Hg", "Hg", "Hg", "Hg", "Hg", "Hg", "Hg", "Hg", "Hg", "Hg", "Hg", "Hg", "Hg", "Hg", "Hg", "Hg", "Hg", "Hg", "Hg", "Hg", "Hg", "Hg", "Hg", "Hg", "Hg", "Hg", "Hg", "Hg", "Hg", "Hg", "Hg", "Hg", "Hg", "Hg", "Hg", "Hg", "Hg", "Hg", "Hg", "Hg", "Hg", "Hg", "Te", "Te", "Te", "Te", "Te", "Te", "Te", "Te", "Te", "Te", "Te", "Te", "As", "As", "As", "As", "As", "As", "As", "As", "As", "As", "As", "As", "As", "As", "As", "As", "As", "As", "As", "As"], "frac_coords": [[0.0366, 0.2169, 0.1081], [0.0366, 0.3197, 0.9285], [0.0715, 0.6081, 0.3912], [0.0715, 0.9634, 0.6803], [0.1081, 0.0366, 0.2169], [0.1081, 0.5715, 0.8912], [0.1088, 0.7169, 0.6803], [0.1088, 0.8919, 0.4285], [0.1803, 0.2169, 0.6088], [0.1803, 0.4634, 0.5715], [0.2169, 0.1081, 0.0366], [0.2169, 0.6088, 0.1803], [0.2831, 0.3197, 0.8912], [0.2831, 0.4634, 0.3919], [0.3197, 0.8912, 0.2831], [0.3197, 0.9285, 0.0366], [0.3912, 0.0715, 0.6081], [0.3912, 0.8197, 0.7831], [0.3919, 0.2831, 0.4634], [0.3919, 0.6088, 0.9285], [0.4285, 0.1088, 0.8919], [0.4285, 0.8197, 0.5366], [0.4634, 0.3919, 0.2831], [0.4634, 0.5715, 0.1803], [0.5366, 0.4285, 0.8197], [0.5366, 0.6081, 0.7169], [0.5715, 0.1803, 0.4634], [0.5715, 0.8912, 0.1081], [0.6081, 0.3912, 0.0715], [0.6081, 0.7169, 0.5366], [0.6088, 0.1803, 0.2169], [0.6088, 0.9285, 0.3919], [0.6803, 0.0715, 0.9634], [0.6803, 0.1088, 0.7169], [0.7169, 0.5366, 0.6081], [0.7169, 0.6803, 0.1088], [0.7831, 0.3912, 0.8197], [0.7831, 0.8919, 0.9634], [0.8197, 0.5366, 0.4285], [0.8197, 0.7831, 0.3912], [0.8912, 0.1081, 0.5715], [0.8912, 0.2831, 0.3197], [0.8919, 0.4285, 0.1088], [0.8919, 0.9634, 0.7831], [0.9285, 0.0366, 0.3197], [0.9285, 0.3919, 0.6088], [0.9634, 0.6803, 0.0715], [0.9634, 0.7831, 0.8919], [0.1250, 0.2500, 0.3750], [0.1250, 0.3750, 0.7500], [0.2500, 0.3750, 0.1250], [0.2500, 0.8750, 0.6250], [0.3750, 0.1250, 0.2500], [0.3750, 0.7500, 0.1250], [0.6250, 0.2500, 0.8750], [0.6250, 0.8750, 0.7500], [0.7500, 0.1250, 0.3750], [0.7500, 0.6250, 0.8750], [0.8750, 0.6250, 0.2500], [0.8750, 0.7500, 0.6250], [0.0000, 0.0000, 0.0000], [0.0000, 0.0000, 0.5000], [0.0000, 0.5000, 0.0000], [0.0000, 0.5000, 0.5000], [0.1250, 0.7500, 0.8750], [0.1250, 0.8750, 0.2500], [0.2500, 0.1250, 0.8750], [0.2500, 0.6250, 0.3750], [0.3750, 0.2500, 0.6250], [0.3750, 0.6250, 0.7500], [0.5000, 0.0000, 0.0000], [0.5000, 0.0000, 0.5000], [0.5000, 0.5000, 0.0000], [0.5000, 0.5000, 0.5000], [0.6250, 0.3750, 0.2500], [0.6250, 0.7500, 0.3750], [0.7500, 0.3750, 0.6250], [0.7500, 0.8750, 0.1250], [0.8750, 0.1250, 0.7500], [0.8750, 0.2500, 0.1250]]}

Entry 6:
{"formula": "NaMg3", "functional": "PBE-GGA", "state": "optimized geometry", "delta_e_f_ev_per_atom": 0.097, "lattice": [[4.6640, 0.0000, 0.0000], [0.0000, 4.6640, 0.0000], [0.0000, 0.0000, 4.6640]], "species": ["Na", "Mg", "Mg", "Mg"], "frac_coords": [[0.0000, 0.0000, 0.0000], [0.0000, 0.5000, 0.5000], [0.5000, 0.0000, 0.5000], [0.5000, 0.5000, 0.0000]]}

Entry 7:
{"formula": "Tc2MoPt", "functional": "PBE-GGA", "state": "optimized geometry", "de_polymorph_mev_per_atom": 87, "delta_e_f_ev_per_atom": -0.081, "lattice": [[4.8124, 0.0000, 0.0000], [0.0000, 2.7470, 0.0000], [-1.6579, 0.0000, 4.5478]], "species": ["Tc", "Tc", "Mo", "Pt"], "frac_coords": [[0.0000, 0.0000, 0.0000], [0.0000, 0.5000, 0.5000], [0.5000, 0.0000, 0.5000], [0.5000, 0.5000, 0.0000]]}

Entry 8:
{"formula": "PuIn2Hg", "functional": "PBE-GGA", "state": "optimized geometry", "de_polymorph_mev_per_atom": 40, "delta_e_f_ev_per_atom": -0.112, "lattice": [[0.0000, 3.7065, 3.7065], [3.7065, 0.0000, 3.7065], [3.7065, 3.7065, 0.0000]], "species": ["Pu", "In", "In", "Hg"], "frac_coords": [[0.0000, 0.0000, 0.0000], [0.5000, 0.5000, 0.5000], [0.7500, 0.7500, 0.7500], [0.2500, 0.2500, 0.2500]]}

Repeat the first record exactly.
{"formula": "SbOsBr2", "functional": "PBE-GGA", "state": "optimized geometry", "de_polymorph_mev_per_atom": 372, "lattice": [[1.8306, 1.0569, 10.3367], [-1.8306, 1.0569, 10.3367], [0.0000, -2.1138, 10.3367]], "species": ["Sb", "Os", "Br", "Br"], "frac_coords": [[0.0000, 0.0000, 0.0000], [0.5000, 0.5000, 0.5000], [0.2106, 0.2106, 0.2106], [0.7894, 0.7894, 0.7894]]}

Q: Number 8 is which compound?
A: PuIn2Hg